Rb3FeSe (PBE-GGA, relaxed); V = 57.76 Å³/atom
1.0
-2.105 -6.198 -0.916
1.726 -1.503 6.201
-6.023 1.735 2.097
Se Rb Fe
1 3 1
Cartesian
0.000 0.000 0.000
0.863 -0.751 3.101
-3.012 0.868 1.048
-1.052 -3.099 -0.458
-3.201 -2.983 3.691


RbFeSe3 (PBE-GGA, relaxed); V = 23.47 Å³/atom
1.0
4.896 0.000 0.000
0.000 4.896 0.000
0.000 0.000 4.896
Se Rb Fe
3 1 1
Cartesian
0.000 2.448 0.000
0.000 0.000 2.448
2.448 0.000 0.000
2.448 2.448 2.448
0.000 0.000 0.000


Rb3Fe2Se4 (PBE-GGA, relaxed); V = 32.25 Å³/atom
1.0
7.342 -0.262 -0.295
-0.383 8.801 2.469
-0.414 0.428 9.130
Rb Fe Se
6 4 8
Cartesian
-0.126 2.672 9.635
2.977 0.311 6.681
6.671 6.295 1.669
3.568 8.656 4.623
5.105 3.694 6.154
1.440 5.273 5.150
3.819 3.527 2.243
6.405 7.461 7.201
2.726 5.439 9.061
0.140 1.506 4.103
3.277 3.047 9.102
6.920 0.668 6.127
3.268 5.919 2.202
-0.375 8.299 5.177
6.160 3.172 3.019
4.059 6.636 7.364
0.385 5.794 8.285
2.486 2.331 3.940


RbFe2Se3 (PBE-GGA, relaxed); V = 26.10 Å³/atom
1.0
7.652 0.099 0.000
-1.604 7.482 0.000
0.000 0.000 5.455
Rb Fe Se
2 4 6
Cartesian
4.536 2.584 1.364
1.512 4.997 4.091
5.257 6.590 0.000
0.791 0.991 2.727
0.791 0.991 0.000
5.257 6.590 2.727
5.440 4.700 4.091
0.607 2.881 1.364
6.435 1.069 4.091
-0.388 6.512 1.364
2.674 1.232 4.091
3.374 6.349 1.364


RbTiFeSe3 (PBE-GGA, relaxed); V = 24.90 Å³/atom
1.0
-0.917 -3.546 -0.656
0.269 -1.715 8.892
-8.713 2.921 -3.602
Rb Ti Fe Se
2 2 2 6
Cartesian
-2.369 -0.546 0.988
-6.993 -1.794 3.645
-1.451 -1.589 5.341
-7.911 -0.751 -0.707
-5.406 0.730 -1.662
-3.956 -3.070 6.296
-1.697 -3.743 6.771
-7.664 1.402 -2.137
-3.931 -0.900 5.082
-5.431 -1.441 -0.448
-1.751 -3.067 3.194
-7.610 0.726 1.439


Rb4U3FeSe8 (PBE-GGA, relaxed); V = 30.51 Å³/atom
1.0
8.387 0.000 0.000
0.000 9.339 0.657
-4.194 -4.190 5.937
Rb U Fe Se
4 3 1 8
Cartesian
4.194 0.000 0.000
2.097 -2.095 2.968
0.000 0.000 0.000
-2.097 -2.095 2.968
4.194 4.669 0.329
2.097 2.574 3.297
-2.097 2.574 3.297
0.000 4.669 0.329
-2.148 2.405 6.179
0.000 4.551 3.135
0.000 0.569 3.364
2.148 2.405 6.179
2.046 2.744 0.416
4.194 4.580 3.230
4.194 0.598 3.459
6.342 2.744 0.416


Rb2UFeSe4 (PBE-GGA, relaxed); V = 36.29 Å³/atom
1.0
-3.581 1.137 6.280
-3.642 -3.629 -5.207
5.732 -4.539 0.302
Rb U Fe Se
2 1 1 4
Cartesian
-3.089 -3.288 -0.690
0.000 0.000 0.000
1.598 -3.743 2.065
1.045 -4.084 -2.453
-0.952 -2.796 1.962
2.437 -3.517 -0.515
-4.421 -1.587 3.047
-0.046 -6.163 -1.744


RbUFe2Se4 (PBE-GGA, relaxed); V = 27.67 Å³/atom
1.0
6.521 0.000 0.000
3.260 5.842 0.062
3.260 0.541 5.817
Rb U Fe Se
1 1 2 4
Cartesian
0.000 0.000 0.000
6.521 3.191 2.940
3.260 2.327 2.144
9.781 4.056 3.736
5.012 0.922 2.977
5.012 5.461 2.903
8.030 3.042 0.675
8.030 3.341 5.205


We obtain total energy values of -2.799 -4.064 -4.475 -5.231 -5.566 -5.670 -5.216 -5.828 eV/atom for the records listed above, in that order.